The following is a DFT calculation (PBE-GGA) of a relaxed structure of CoPbBr2.

Calculated values
Energy above the most stable polymorph in this dataset ... 523 meV per atom
Formation energy (no corrections) ... 0.34 eV/atom
Calculated total energy ... -3.1987 eV per atom

abc: 5.178 5.178 5.178
angles: 60.00 60.00 60.00
Positions (direct):
Co  0.000  0.000  0.000
Pb  0.500  0.500  0.500
Br  0.250  0.250  0.250
Br  0.750  0.750  0.750

***

The following is a DFT calculation (PBE-GGA) of a relaxed structure of Zr2Be2NbCo5.

Calculated values
Formation energy ... -0.37 eV per atom
Calculated total energy ... -7.3821 eV per atom

abc: 8.845 8.845 3.246
angles: 90.00 90.00 90.00
Positions (direct):
Zr  0.175  0.325  0.000
Zr  0.325  0.825  0.000
Zr  0.675  0.175  0.000
Zr  0.825  0.675  0.000
Be  0.118  0.618  0.000
Be  0.382  0.118  0.000
Be  0.618  0.882  0.000
Be  0.882  0.382  0.000
Nb  0.000  0.000  0.000
Nb  0.500  0.500  0.000
Co  0.000  0.500  0.500
Co  0.069  0.784  0.500
Co  0.216  0.069  0.500
Co  0.284  0.569  0.500
Co  0.431  0.284  0.500
Co  0.500  0.000  0.500
Co  0.569  0.716  0.500
Co  0.716  0.431  0.500
Co  0.784  0.931  0.500
Co  0.931  0.216  0.500

***

The following is a DFT calculation (PBE-GGA) of a relaxed structure of Ta2TlSb.

Calculated values
Energy above the most stable polymorph in this dataset ... 275 meV per atom
Formation energy (no corrections) ... 0.50 eV/atom
Calculated total energy ... -7.0437 eV per atom

abc: 3.525 4.643 5.063
angles: 90.00 90.00 90.00
Positions (direct):
Ta  0.000  0.000  0.000
Ta  0.500  0.000  0.500
Tl  0.000  0.500  0.500
Sb  0.500  0.500  0.000